No. 1
A plane-wave DFT calculation with GGA-PBE was carried out for a geometry-optimized CrTcSN2 structure.

Unit cell a=3.639 b=3.639 c=4.897 alpha=90.00 beta=90.00 gamma=90.00
Fractional positions:
1 Cr 0.000 0.000 0.000
2 Tc 0.500 0.500 0.500
3 S 0.000 0.000 0.500
4 N 0.000 0.500 0.000
5 N 0.500 0.000 0.000

Computed properties:
DOS(E_F)   4.44 states/eV per cell
Formation energy from raw total energies   0.765 eV per atom
Symmetry   No. 123

---

No. 2
A plane-wave DFT calculation with GGA-PBE was carried out for a geometry-optimized CrTeSN2 structure.

Unit cell a=3.609 b=3.609 c=7.187 alpha=90.00 beta=90.00 gamma=90.00
Fractional positions:
1 Cr 0.000 0.000 0.000
2 Te 0.500 0.500 0.000
3 S 0.500 0.500 0.500
4 N 0.000 0.500 0.500
5 N 0.500 0.000 0.500

Computed properties:
DOS(E_F)   2.97 states/eV per cell
Formation energy from raw total energies   1.518 eV per atom
Symmetry   No. 123

---

No. 3
A plane-wave DFT calculation with GGA-PBE was carried out for a geometry-optimized CrTe2SN structure.

Unit cell a=5.192 b=5.192 c=3.533 alpha=90.00 beta=90.00 gamma=90.00
Fractional positions:
1 Cr 0.000 0.000 0.000
2 Te 0.000 0.500 0.000
3 Te 0.500 0.000 0.000
4 S 0.500 0.500 0.500
5 N 0.000 0.000 0.500

Computed properties:
DOS(E_F)   2.42 states/eV per cell
Formation energy from raw total energies   0.336 eV per atom
Symmetry   No. 123

---

No. 4
A plane-wave DFT calculation with GGA-PBE was carried out for a geometry-optimized CrTeSN2 structure.

Unit cell a=3.817 b=3.817 c=4.977 alpha=90.00 beta=90.00 gamma=90.00
Fractional positions:
1 Cr 0.000 0.000 0.000
2 Te 0.500 0.500 0.500
3 S 0.000 0.000 0.500
4 N 0.000 0.500 0.000
5 N 0.500 0.000 0.000

Computed properties:
DOS(E_F)   3.07 states/eV per cell
Formation energy from raw total energies   0.668 eV per atom
Symmetry   No. 123

---

No. 5
A plane-wave DFT calculation with GGA-PBE was carried out for a geometry-optimized CrTeSN2 structure.

Unit cell a=3.898 b=3.898 c=5.549 alpha=90.00 beta=90.00 gamma=90.00
Fractional positions:
1 Cr 0.000 0.000 0.000
2 Te 0.500 0.500 0.500
3 S 0.500 0.500 0.000
4 N 0.000 0.500 0.500
5 N 0.500 0.000 0.500

Computed properties:
DOS(E_F)   2.98 states/eV per cell
Formation energy from raw total energies   1.321 eV per atom
Symmetry   No. 123

---

No. 6
A plane-wave DFT calculation with GGA-PBE was carried out for a geometry-optimized CrTeSN2 structure.

Unit cell a=3.691 b=3.691 c=5.687 alpha=90.00 beta=90.00 gamma=90.00
Fractional positions:
1 Cr 0.000 0.000 0.000
2 Te 0.000 0.000 0.500
3 S 0.500 0.500 0.500
4 N 0.000 0.500 0.000
5 N 0.500 0.000 0.000

Computed properties:
DOS(E_F)   2.19 states/eV per cell
Formation energy from raw total energies   0.582 eV per atom
Symmetry   No. 123

---

No. 7
A plane-wave DFT calculation with GGA-PBE was carried out for a geometry-optimized CrTe2SN structure.

Unit cell a=5.565 b=5.565 c=3.345 alpha=90.00 beta=90.00 gamma=90.00
Fractional positions:
1 Cr 0.000 0.000 0.000
2 Te 0.000 0.500 0.500
3 Te 0.500 0.000 0.500
4 S 0.500 0.500 0.500
5 N 0.500 0.500 0.000

Computed properties:
DOS(E_F)   3.04 states/eV per cell
Formation energy from raw total energies   0.883 eV per atom
Symmetry   No. 123

---

No. 8
A plane-wave DFT calculation with GGA-PBE was carried out for a geometry-optimized CrTeS2N structure.

Unit cell a=5.105 b=5.105 c=3.889 alpha=90.00 beta=90.00 gamma=90.00
Fractional positions:
1 Cr 0.000 0.000 0.000
2 Te 0.500 0.500 0.500
3 S 0.000 0.500 0.500
4 S 0.500 0.000 0.500
5 N 0.500 0.500 0.000

Computed properties:
DOS(E_F)   3.91 states/eV per cell
Formation energy from raw total energies   1.039 eV per atom
Symmetry   No. 123

---

Relative energy among the computed polymorphs, respectively: 232, 935, 0, 86, 738, 0, 547, 779 meV per atom.
Energy, respectively: -0.543, -0.382, -0.392, -0.444, -0.396, -0.450, -0.352, -0.355 Ry per atom.